[1]
{"formula": "LiLaH8Rh2", "functional": "PBE", "state": "relaxed", "crystal_system": "trigonal", "magmom_total_mub_per_fu": 0.0, "e_tot_ev_per_cell": -52.68, "dos_at_fermi_per_ev_atom": 0.0182, "vol_a3_per_cell": 110.3, "lattice_angstrom": [[4.801, 0.000, 0.000], [2.401, 4.158, 0.000], [2.401, 1.386, 5.525]], "species": ["H", "H", "H", "H", "H", "H", "H", "H", "La", "Li", "Rh", "Rh"], "frac_coords": [[0.196, 0.196, 0.411], [0.613, 0.350, 0.131], [0.350, 0.905, 0.131], [0.905, 0.613, 0.131], [0.804, 0.804, 0.589], [0.095, 0.387, 0.869], [0.650, 0.095, 0.869], [0.387, 0.650, 0.869], [0.500, 0.500, 0.500], [0.000, 0.000, 0.000], [0.300, 0.300, 0.100], [0.700, 0.700, 0.900]]}

=====

[2]
{"formula": "K6Cd3Au", "functional": "PBE", "state": "relaxed", "ef_ev_per_atom": -0.081, "crystal_system": "monoclinic", "magmom_total_mub_per_fu": 0.0, "dos_at_fermi_per_ev_atom": 0.4550, "vol_a3_per_cell": 814.0, "lattice_angstrom": [[-2.184, 6.024, -3.276], [-8.216, 0.612, 6.603], [5.959, 5.823, 6.735]], "species": ["Cd", "Cd", "Cd", "Cd", "Cd", "Cd", "K", "K", "K", "K", "K", "K", "K", "K", "K", "K", "K", "K", "Au", "Au"], "frac_coords": [[0.819, 0.016, 0.240], [0.681, 0.516, 0.740], [0.000, 0.000, 0.500], [0.319, 0.484, 0.260], [0.500, 0.500, 0.000], [0.181, 0.984, 0.760], [0.602, 0.835, 0.933], [0.576, 0.822, 0.569], [0.249, 0.346, 0.738], [0.251, 0.846, 0.238], [0.424, 0.178, 0.431], [0.749, 0.154, 0.762], [0.898, 0.335, 0.433], [0.751, 0.654, 0.262], [0.102, 0.665, 0.567], [0.924, 0.322, 0.069], [0.076, 0.678, 0.931], [0.398, 0.165, 0.067], [0.000, 0.000, 0.000], [0.500, 0.500, 0.500]]}

=====

[3]
{"formula": "TbMg4Cd8", "functional": "PBE", "state": "relaxed", "ef_ev_per_atom": -0.151, "crystal_system": "tetragonal", "magmom_total_mub_per_fu": 0.0, "dos_at_fermi_per_ev_atom": 0.2382, "vol_a3_per_cell": 291.3, "lattice_angstrom": [[5.613, 0.000, 2.256], [2.806, 6.940, 1.128], [0.218, 0.000, 7.567]], "species": ["Cd", "Cd", "Cd", "Cd", "Cd", "Cd", "Cd", "Cd", "Mg", "Mg", "Mg", "Mg", "Tb"], "frac_coords": [[0.000, 0.655, 0.345], [0.285, 0.215, 0.215], [0.000, 0.345, 0.655], [0.345, 0.655, 0.655], [0.500, 0.785, 0.215], [0.655, 0.345, 0.345], [0.500, 0.215, 0.785], [0.715, 0.785, 0.785], [0.500, 0.500, 0.000], [0.500, 0.000, 0.500], [0.000, 0.000, 0.500], [0.000, 0.500, 0.000], [0.000, 0.000, 0.000]]}

=====

[4]
{"formula": "TcTe3", "functional": "PBE", "state": "relaxed", "crystal_system": "orthorhombic", "magmom_total_mub_per_fu": 0.0, "e_tot_ev_per_cell": -19.67, "dos_at_fermi_per_ev_atom": 0.7151, "vol_a3_per_cell": 119.6, "lattice_angstrom": [[6.901, 0.043, 0.000], [3.182, 6.123, 0.000], [-3.918, -4.920, 2.840]], "species": ["Tc", "Te", "Te", "Te"], "frac_coords": [[0.957, 0.000, 0.957], [0.620, 0.500, 0.120], [0.286, 0.658, 0.628], [0.970, 0.342, 0.628]]}

=====

[5]
{"formula": "Tb2HoHg4", "functional": "PBE", "state": "relaxed", "ef_ev_per_atom": 0.021, "crystal_system": "tetragonal", "magmom_total_mub_per_fu": 0.0, "dos_at_fermi_per_ev_atom": 0.9441, "vol_a3_per_cell": 240.6, "lattice_angstrom": [[5.599, 0.000, 0.000], [0.000, 5.599, 0.000], [-2.799, -2.799, 7.674]], "species": ["Tb", "Tb", "Hg", "Hg", "Hg", "Hg", "Ho"], "frac_coords": [[0.603, 0.603, 0.206], [0.397, 0.397, 0.794], [0.803, 0.803, 0.605], [0.197, 0.197, 0.395], [0.000, 0.500, 0.000], [0.500, 0.000, 0.000], [0.000, 0.000, 0.000]]}

=====

[6]
{"formula": "LaTbTl2Se4", "functional": "PBE", "state": "relaxed", "crystal_system": "monoclinic", "magmom_total_mub_per_fu": 0.0, "e_tot_ev_per_cell": -39.58, "dos_at_fermi_per_ev_atom": 0.0000, "vol_a3_per_cell": 249.5, "lattice_angstrom": [[-3.872, -1.628, 0.981], [2.026, -0.491, 7.181], [-3.361, 7.308, -1.139]], "species": ["La", "Se", "Se", "Se", "Se", "Tl", "Tl", "Tb"], "frac_coords": [[0.500, 0.500, 0.000], [0.500, 0.226, 0.206], [0.500, 0.774, 0.794], [0.000, 0.253, 0.790], [0.000, 0.747, 0.210], [0.000, 0.500, 0.500], [0.500, 0.000, 0.500], [0.000, 0.000, 0.000]]}

=====

[7]
{"formula": "Sc3PtRh", "functional": "PBE", "state": "relaxed", "ef_ev_per_atom": -0.269, "crystal_system": "cubic", "magmom_total_mub_per_fu": 0.0, "dos_at_fermi_per_ev_atom": 0.7265, "vol_a3_per_cell": 116.0, "lattice_angstrom": [[4.876, 0.000, 0.000], [0.000, 4.876, 0.000], [0.000, 0.000, 4.876]], "species": ["Sc", "Sc", "Sc", "Rh", "Pt"], "frac_coords": [[0.000, 0.500, 0.000], [0.000, 0.000, 0.500], [0.500, 0.000, 0.000], [0.000, 0.000, 0.000], [0.500, 0.500, 0.500]]}

=====

[8]
{"formula": "Ac7In4Ru", "functional": "PBE", "state": "relaxed", "ef_ev_per_atom": -0.119, "crystal_system": "monoclinic", "magmom_total_mub_per_fu": 0.0, "dos_at_fermi_per_ev_atom": 0.9702, "vol_a3_per_cell": 461.0, "lattice_angstrom": [[5.520, 0.000, 0.000], [2.760, 9.274, 0.019], [2.760, 0.432, 9.005]], "species": ["Ac", "Ac", "Ac", "Ac", "Ac", "Ac", "Ac", "In", "In", "In", "In", "Ru"], "frac_coords": [[0.958, 0.257, 0.827], [0.647, 0.424, 0.282], [0.236, 0.136, 0.392], [0.042, 0.743, 0.173], [0.353, 0.576, 0.718], [0.764, 0.864, 0.608], [0.500, 0.000, 0.000], [0.415, 0.778, 0.392], [0.283, 0.381, 0.052], [0.717, 0.619, 0.948], [0.585, 0.222, 0.608], [0.000, 0.000, 0.000]]}